Entry 1:
This record from the Alexandria database describes CuGeTe2 after structural relaxation. The functional is PBE-GGA.

Output
**Volume**: 29.63 Å³/atom
**ΔE_f (raw)**: -0.05 eV per formula unit

```
CuGeTe2
1.0
7.563 0.000 0.000
0.000 7.369 0.000
0.000 0.000 8.505
Te Ge Cu
8 4 4
Direct
0.852 0.412 0.105 Te
0.400 0.088 0.126 Te
0.352 0.088 0.605 Te
0.852 0.912 0.395 Te
0.400 0.588 0.374 Te
0.900 0.412 0.626 Te
0.352 0.588 0.895 Te
0.900 0.912 0.874 Te
0.515 0.421 0.638 Ge
0.015 0.079 0.138 Ge
0.515 0.921 0.862 Ge
0.015 0.579 0.362 Ge
0.507 0.420 0.125 Cu
0.007 0.580 0.875 Cu
0.507 0.920 0.375 Cu
0.007 0.080 0.625 Cu
```

=====

Entry 2:
This record from the Alexandria database describes Sr2BeH6Au after structural relaxation. The functional is PBE-GGA.

Output
**Volume**: 12.74 Å³/atom
**Total DFT energy (no corrections)**: -33.3 eV per cell

```
Sr2BeH6Au
1.0
-2.527 1.891 -4.163
-4.844 1.381 3.568
4.526 2.135 1.500
H Au Be Sr
6 1 1 2
Direct
0.771 0.746 0.542 H
0.196 0.147 0.950 H
0.754 0.147 0.950 H
0.196 0.147 0.391 H
0.771 0.746 0.974 H
0.203 0.746 0.974 H
0.546 0.639 0.093 Au
0.010 0.029 0.019 Be
0.775 0.326 0.550 Sr
0.277 0.831 0.553 Sr
```

=====

Entry 3:
This record from the Alexandria database describes TaAgI2N after structural relaxation. The functional is PBE-GGA.

Output
**Polymorph energy (0 for the lowest one)**: 0.000 eV/atom
**Volume**: 25.80 Å³/atom
**ΔE_f (raw)**: 0.90 eV per formula unit

```
TaAgI2N
1.0
-2.462 -1.711 -4.885
1.104 -5.459 1.355
-3.465 -0.246 1.832
I Ag N Ta
2 1 1 1
Direct
0.000 0.500 0.000 I
0.500 0.000 0.000 I
0.500 0.500 0.500 Ag
0.000 0.000 0.500 N
0.000 0.000 0.000 Ta
```

=====

Entry 4:
This record from the Alexandria database describes HfN2 after structural relaxation. The functional is PBE-GGA.

Output
**Volume**: 11.68 Å³/atom
**ΔE_f (raw)**: -2.16 eV per formula unit

```
HfN2
1.0
3.260 0.000 0.000
-1.630 2.824 0.000
0.000 0.000 3.807
Hf N
1 2
Direct
0.333 0.667 0.500 Hf
0.667 0.333 0.812 N
0.667 0.333 0.188 N
```

=====

| no. | density of states at the Fermi level (states/eV/atom) |
| --- | --- |
| 1 | 0.57 |
| 2 | 0.14 |
| 3 | 0.44 |
| 4 | 0.18 |